# CsBaNi2Cl8 (PBE-GGA, relaxed)
# V ... 33.6 Å³/atom
# Formation energy from raw total energies ... -14.49 eV per formula unit
data_CsBaNi2Cl8
_cell_length_a 6.6746
_cell_length_b 6.6746
_cell_length_c 10.4482
_cell_angle_alpha 90.00
_cell_angle_beta 90.00
_cell_angle_gamma 120.00
_symmetry_space_group_name_H-M 'P -3'
_symmetry_Int_Tables_number 147
loop_
_symmetry_equiv_pos_as_xyz
'x,y,z'
'-x,-y,-z'
'-y,x-y,z'
'y,-x+y,-z'
'-x+y,-x,z'
'x-y,x,-z'
loop_
_atom_site_label
_atom_site_fract_x
_atom_site_fract_y
_atom_site_fract_z
_atom_site_occupancy
Cs1 0.0000 0.0000 0.0000 1
Ba1 0.0000 0.0000 0.5000 1
Ni1 0.3333 0.6667 0.7565 1
Cl1 0.0087 0.3572 0.6934 1
Cl2 0.3333 0.6667 0.9641 1